# 1
# Pu2CoSi

Crystalline Pu2CoSi at its relaxed geometry (GGA-PBE, the Alexandria database).

Results
uncorrected energy = -10.482 eV per atom
magnetic moment = 1.97 μB per formula unit
uncorrected formation energy = -0.184 eV per atom
density = 14.487 g/cm3

CIF file:
```
data_Pu2CoSi
_space_group_name_H-M_alt 'C 1 2/m 1'
_space_group_IT_number 12
_cell_length_a 9.4706
_cell_length_b 3.8022
_cell_length_c 7.3790
_cell_angle_alpha 90.00
_cell_angle_beta 97.16
_cell_angle_gamma 90.00
loop_
_space_group_symop_operation_xyz
'x,y,z'
'-x,-y,-z'
'-x,y,-z'
'x,-y,z'
'x+1/2,y+1/2,z'
'-x+1/2,-y+1/2,-z'
'-x+1/2,y+1/2,-z'
'x+1/2,-y+1/2,z'
loop_
_atom_site_label
_atom_site_type_symbol
_atom_site_fract_x
_atom_site_fract_y
_atom_site_fract_z
_atom_site_occupancy
Pu1 Pu 0.0000 0.0000 0.0000 1
Pu2 Pu 0.0000 0.0000 0.5000 1
Pu3 Pu 0.1238 0.5000 0.3807 1
Co1 Co 0.2248 0.5000 0.0969 1
Si1 Si 0.1705 0.5000 0.7690 1
```

# 2
# MgCuAu5

Crystalline MgCuAu5 at its relaxed geometry (GGA-PBE, the Alexandria database).

Results
uncorrected energy = -3.297 eV per atom
calculated formation energy = -0.143 eV per atom
magnetic moment = 0.00 μB per formula unit
density = 13.528 g/cm3

CIF file:
```
data_MgCuAu5
_space_group_name_H-M_alt 'C m m m'
_space_group_IT_number 65
_space_group_name_Hall '-C 2 2'
_cell_length_a 5.5617
_cell_length_b 8.3218
_cell_length_c 5.6899
_cell_angle_alpha 90.00
_cell_angle_beta 90.00
_cell_angle_gamma 90.00
loop_
_atom_site_label
_atom_site_type_symbol
_atom_site_fract_x
_atom_site_fract_y
_atom_site_fract_z
_atom_site_occupancy
Mg1 Mg 0.0000 0.0000 0.0000 1
Cu1 Cu 0.0000 0.5000 0.5000 1
Au1 Au 0.0000 0.0000 0.5000 1
Au2 Au 0.2500 0.2500 0.2456 1
```

# 3
# FeSiSeBr2

Crystalline FeSiSeBr2 at its relaxed geometry (GGA-PBE, the Alexandria database).

Results
uncorrected energy = -3.694 eV per atom
magnetic moment = 2.96 μB per formula unit
uncorrected formation energy = 0.449 eV per atom
density = 4.833 g/cm3

CIF file:
```
data_FeSiSeBr2
_space_group_name_H-M_alt 'P 4/m m m'
_space_group_IT_number 123
_space_group_name_Hall '-P 4 2'
_cell_length_a 4.8981
_cell_length_b 4.8981
_cell_length_c 4.6210
_cell_angle_alpha 90.00
_cell_angle_beta 90.00
_cell_angle_gamma 90.00
loop_
_atom_site_label
_atom_site_type_symbol
_atom_site_fract_x
_atom_site_fract_y
_atom_site_fract_z
_atom_site_occupancy
Fe1 Fe 0.0000 0.0000 0.0000 1
Si1 Si 0.5000 0.5000 0.5000 1
Se1 Se 0.0000 0.0000 0.5000 1
Br1 Br 0.0000 0.5000 0.0000 1
```

# 4
# Y4Ho3Th2

Crystalline Y4Ho3Th2 at its relaxed geometry (GGA-PBE, the Alexandria database).

Results
uncorrected energy = -6.021 eV per atom
calculated formation energy = 0.027 eV per atom
magnetic moment = 0.00 μB per formula unit
density = 7.616 g/cm3

CIF file:
```
data_Y4Ho3Th2
_space_group_name_H-M_alt 'C 1 2/m 1'
_space_group_IT_number 12
_cell_length_a 11.7893
_cell_length_b 3.5719
_cell_length_c 14.6480
_cell_angle_alpha 90.00
_cell_angle_beta 111.68
_cell_angle_gamma 90.00
loop_
_space_group_symop_operation_xyz
'x,y,z'
'-x,-y,-z'
'-x,y,-z'
'x,-y,z'
'x+1/2,y+1/2,z'
'-x+1/2,-y+1/2,-z'
'-x+1/2,y+1/2,-z'
'x+1/2,-y+1/2,z'
loop_
_atom_site_label
_atom_site_type_symbol
_atom_site_fract_x
_atom_site_fract_y
_atom_site_fract_z
_atom_site_occupancy
Y1 Y 0.1686 0.0000 0.1674 1
Y2 Y 0.2191 0.5000 0.3852 1
Ho1 Ho 0.0000 0.5000 0.5000 1
Ho2 Ho 0.1095 0.5000 0.9390 1
Th1 Th 0.0558 0.0000 0.7215 1
```

# 5
# PuVPb2

Crystalline PuVPb2 at its relaxed geometry (GGA-PBE, the Alexandria database).

Results
uncorrected energy = -7.143 eV per atom
calculated formation energy = 0.574 eV per atom
magnetic moment = 2.68 μB per formula unit
density = 10.757 g/cm3

CIF file:
```
data_PuVPb2
_space_group_name_H-M_alt 'R -3 m'
_space_group_IT_number 166
_space_group_name_Hall '-R 3 2"'
_cell_length_a 3.3316
_cell_length_b 3.3316
_cell_length_c 34.1738
_cell_angle_alpha 90.00
_cell_angle_beta 90.00
_cell_angle_gamma 120.00
loop_
_atom_site_label
_atom_site_type_symbol
_atom_site_fract_x
_atom_site_fract_y
_atom_site_fract_z
_atom_site_occupancy
Pu1 Pu 0.0000 0.0000 0.0000 1
V1 V 0.0000 0.0000 0.5000 1
Pb1 Pb 0.0000 0.0000 0.4173 1
```

# 6
# NbPdW2

Crystalline NbPdW2 at its relaxed geometry (GGA-PBE, the Alexandria database).

Results
uncorrected energy = -9.473 eV per atom
calculated formation energy = 0.819 eV per atom
magnetic moment = 0.00 μB per formula unit
density = 13.178 g/cm3

CIF file:
```
data_NbPdW2
_space_group_name_H-M_alt 'I -4 2 d'
_space_group_IT_number 122
_space_group_name_Hall 'I -4 2bw'
_cell_length_a 7.3081
_cell_length_b 7.3081
_cell_length_c 5.3512
_cell_angle_alpha 90.00
_cell_angle_beta 90.00
_cell_angle_gamma 90.00
loop_
_atom_site_label
_atom_site_type_symbol
_atom_site_fract_x
_atom_site_fract_y
_atom_site_fract_z
_atom_site_occupancy
Nb1 Nb 0.0000 0.0000 0.0000 1
Pd1 Pd 0.0000 0.0000 0.5000 1
W1 W 0.2396 0.7500 0.6250 1
```

# 7
# CaSbAs2

Crystalline CaSbAs2 at its relaxed geometry (GGA-PBE, the Alexandria database).

Results
uncorrected energy = -4.236 eV per atom
magnetic moment = 0.00 μB per formula unit
uncorrected formation energy = -0.380 eV per atom
density = 5.480 g/cm3

CIF file:
```
data_CaSbAs2
_space_group_name_H-M_alt 'I m m 2'
_space_group_IT_number 44
_cell_length_a 3.8248
_cell_length_b 4.7815
_cell_length_c 10.3280
_cell_angle_alpha 90.00
_cell_angle_beta 90.00
_cell_angle_gamma 90.00
loop_
_space_group_symop_operation_xyz
'x,y,z'
'-x,-y,z'
'-x,y,z'
'x,-y,z'
'x+1/2,y+1/2,z+1/2'
'-x+1/2,-y+1/2,z+1/2'
'-x+1/2,y+1/2,z+1/2'
'x+1/2,-y+1/2,z+1/2'
loop_
_atom_site_label
_atom_site_type_symbol
_atom_site_fract_x
_atom_site_fract_y
_atom_site_fract_z
_atom_site_occupancy
Ca1 Ca 0.0000 0.0000 0.0000 1
Sb1 Sb 0.0000 0.5000 0.7761 1
As1 As 0.0000 0.0000 0.5007 1
As2 As 0.0000 0.5000 0.2089 1
```

# 8
# HoFeReSi3

Crystalline HoFeReSi3 at its relaxed geometry (GGA-PBE, the Alexandria database).

Results
uncorrected energy = -7.175 eV per atom
magnetic moment = 0.00 μB per formula unit
uncorrected formation energy = -0.215 eV per atom
density = 7.676 g/cm3

CIF file:
```
data_HoFeReSi3
_space_group_name_H-M_alt 'C m c m'
_space_group_IT_number 63
_space_group_name_Hall '-C 2c 2'
_cell_length_a 5.9907
_cell_length_b 11.3877
_cell_length_c 6.2306
_cell_angle_alpha 90.00
_cell_angle_beta 90.00
_cell_angle_gamma 90.00
loop_
_atom_site_label
_atom_site_type_symbol
_atom_site_fract_x
_atom_site_fract_y
_atom_site_fract_z
_atom_site_occupancy
Ho1 Ho 0.0000 0.2238 0.2500 1
Fe1 Fe 0.0000 0.1024 0.7500 1
Re1 Re 0.0000 0.4828 0.7500 1
Si1 Si 0.0000 0.2863 0.7500 1
Si2 Si 0.1952 0.0000 0.0000 1
```

# 9
# In3Ga2Hg5

Crystalline In3Ga2Hg5 at its relaxed geometry (GGA-PBE, the Alexandria database).

Results
uncorrected energy = -1.503 eV per atom
calculated formation energy = 0.075 eV per atom
magnetic moment = 0.00 μB per formula unit
density = 9.104 g/cm3

CIF file:
```
data_In3Ga2Hg5
_space_group_name_H-M_alt 'I b a m'
_space_group_IT_number 72
_space_group_name_Hall '-I 2 2c'
_cell_length_a 8.8992
_cell_length_b 12.8878
_cell_length_c 9.4586
_cell_angle_alpha 90.00
_cell_angle_beta 90.00
_cell_angle_gamma 90.00
loop_
_atom_site_label
_atom_site_type_symbol
_atom_site_fract_x
_atom_site_fract_y
_atom_site_fract_z
_atom_site_occupancy
In1 In 0.0000 0.0000 0.2500 1
In2 In 0.1785 0.3567 0.0000 1
Ga1 Ga 0.0016 0.1329 0.0000 1
Hg1 Hg 0.0000 0.2592 0.2500 1
Hg2 Hg 0.0000 0.5000 0.2500 1
Hg3 Hg 0.1905 0.3970 0.5000 1
```

# 10
# HoEr3Pd2

Crystalline HoEr3Pd2 at its relaxed geometry (GGA-PBE, the Alexandria database).

Results
uncorrected energy = -5.393 eV per atom
calculated formation energy = -0.617 eV per atom
magnetic moment = 0.02 μB per formula unit
density = 9.555 g/cm3

CIF file:
```
data_HoEr3Pd2
_space_group_name_H-M_alt 'P m c 21'
_space_group_IT_number 26
_cell_length_a 3.7377
_cell_length_b 9.6533
_cell_length_c 8.4727
_cell_angle_alpha 90.00
_cell_angle_beta 90.00
_cell_angle_gamma 90.00
loop_
_space_group_symop_operation_xyz
'x,y,z'
'-x,-y,z+1/2'
'-x,y,z'
'x,-y,z+1/2'
loop_
_atom_site_label
_atom_site_type_symbol
_atom_site_fract_x
_atom_site_fract_y
_atom_site_fract_z
_atom_site_occupancy
Ho1 Ho 0.0000 0.0670 0.0000 1
Er1 Er 0.0000 0.2854 0.6597 1
Er2 Er 0.5000 0.2154 0.3197 1
Er3 Er 0.5000 0.4337 0.9796 1
Pd1 Pd 0.0000 0.4268 0.2526 1
Pd2 Pd 0.5000 0.0736 0.7264 1
```

# 11
# Th2Ni4As3Ru

Crystalline Th2Ni4As3Ru at its relaxed geometry (GGA-PBE, the Alexandria database).

Results
uncorrected energy = -6.783 eV per atom
calculated formation energy = -0.664 eV per atom
magnetic moment = 0.04 μB per formula unit
density = 10.219 g/cm3

CIF file:
```
data_Th2Ni4As3Ru
_space_group_name_H-M_alt 'P -4 m 2'
_space_group_IT_number 115
_cell_length_a 4.0378
_cell_length_b 4.0378
_cell_length_c 10.2131
_cell_angle_alpha 90.00
_cell_angle_beta 90.00
_cell_angle_gamma 90.00
loop_
_space_group_symop_operation_xyz
'x,y,z'
'y,-x,-z'
'-x,-y,z'
'-y,x,-z'
'-x,y,z'
'-y,-x,-z'
'x,-y,z'
'y,x,-z'
loop_
_atom_site_label
_atom_site_type_symbol
_atom_site_fract_x
_atom_site_fract_y
_atom_site_fract_z
_atom_site_occupancy
Th1 Th 0.0000 0.5000 0.2477 1
Ni1 Ni 0.0000 0.0000 0.5000 1
Ni2 Ni 0.0000 0.5000 0.8519 1
Ni3 Ni 0.5000 0.5000 0.5000 1
As1 As 0.0000 0.0000 0.0000 1
As2 As 0.0000 0.5000 0.6240 1
Ru1 Ru 0.5000 0.5000 0.0000 1
```